[1]
An optimized crystal structure of Zr3TaGa, computed with PBEsol.

Results
Magnetization, μB/cell: 0.00
Energy of formation from the pure elements, eV per atom: 0.839
Uncorrected energy, eV per atom: -7.793

CIF file:
```
data_Zr3TaGa
_chemical_formula_sum 'Zr3 Ta1 Ga1'
_space_group_name_H-M_alt 'P m -3 m'
_space_group_IT_number 221
_space_group_name_Hall '-P 4 2 3'
_cell_length_a 4.884
_cell_length_b 4.884
_cell_length_c 4.884
_cell_angle_alpha 90.00
_cell_angle_beta 90.00
_cell_angle_gamma 90.00
loop_
_atom_site_label
_atom_site_type_symbol
_atom_site_fract_x
_atom_site_fract_y
_atom_site_fract_z
_atom_site_occupancy
Zr1 Zr 0.000 0.000 0.500 1
Ta1 Ta 0.500 0.500 0.500 1
Ga1 Ga 0.000 0.000 0.000 1
```

***

[2]
An optimized crystal structure of Ba2ZrP, computed with PBEsol.

Results
Magnetization, μB/cell: 0.00
Energy of formation from the pure elements, eV per atom: 0.199
Uncorrected energy, eV per atom: -4.596

CIF file:
```
data_Ba2ZrP
_chemical_formula_sum 'Ba4 Zr2 P2'
_space_group_name_H-M_alt 'I -4 m 2'
_space_group_IT_number 119
_space_group_name_Hall 'I -4 -2'
_cell_length_a 4.748
_cell_length_b 4.748
_cell_length_c 9.682
_cell_angle_alpha 90.00
_cell_angle_beta 90.00
_cell_angle_gamma 90.00
loop_
_atom_site_label
_atom_site_type_symbol
_atom_site_fract_x
_atom_site_fract_y
_atom_site_fract_z
_atom_site_occupancy
Ba1 Ba 0.000 0.000 0.000 1
Ba2 Ba 0.000 0.500 0.250 1
Zr1 Zr 0.000 0.500 0.750 1
P1 P 0.000 0.000 0.500 1
```

***

[3]
An optimized crystal structure of Mg5Au3, computed with PBEsol.

Results
Magnetization, μB/cell: 0.00
Energy of formation from the pure elements, eV per atom: -0.527
Uncorrected energy, eV per atom: -3.071
Energy relative to the lowest polymorph listed for this composition, meV/atom: 0.0

CIF file:
```
data_Mg5Au3
_chemical_formula_sum 'Mg20 Au12'
_space_group_name_H-M_alt 'I 4/m c m'
_space_group_IT_number 140
_space_group_name_Hall '-I 4 2c'
_cell_length_a 10.551
_cell_length_b 10.551
_cell_length_c 5.334
_cell_angle_alpha 90.00
_cell_angle_beta 90.00
_cell_angle_gamma 90.00
loop_
_atom_site_label
_atom_site_type_symbol
_atom_site_fract_x
_atom_site_fract_y
_atom_site_fract_z
_atom_site_occupancy
Mg1 Mg 0.000 0.500 0.250 1
Mg2 Mg 0.080 0.221 0.000 1
Au1 Au 0.000 0.000 0.250 1
Au2 Au 0.162 0.338 0.500 1
```

***

[4]
An optimized crystal structure of DyRhO3, computed with PBEsol.

Results
Magnetization, μB/cell: 0.00
Uncorrected energy, eV per atom: -8.022

CIF file:
```
data_DyRhO3
_chemical_formula_sum 'Dy4 Rh4 O12'
_space_group_name_H-M_alt 'P n m a'
_space_group_IT_number 62
_cell_length_a 5.757
_cell_length_b 7.501
_cell_length_c 5.154
_cell_angle_alpha 90.00
_cell_angle_beta 90.00
_cell_angle_gamma 90.00
loop_
_space_group_symop_operation_xyz
'x,y,z'
'-x,-y,-z'
'-x+1/2,-y,z+1/2'
'x+1/2,y,-z+1/2'
'x+1/2,-y+1/2,-z+1/2'
'-x+1/2,y+1/2,z+1/2'
'-x,y+1/2,-z'
'x,-y+1/2,z'
loop_
_atom_site_label
_atom_site_type_symbol
_atom_site_fract_x
_atom_site_fract_y
_atom_site_fract_z
_atom_site_occupancy
Dy1 Dy 0.088 0.250 0.034 1
Rh1 Rh 0.000 0.000 0.500 1
O1 O 0.051 0.750 0.366 1
O2 O 0.190 0.560 0.827 1
```

***

[5]
An optimized crystal structure of SbIr2WC, computed with PBEsol.

Results
Magnetization, μB/cell: 0.78
Uncorrected energy, eV per atom: -6.702

CIF file:
```
data_SbIr2WC
_chemical_formula_sum 'Sb1 Ir2 W1 C1'
_space_group_name_H-M_alt 'P 4/m m m'
_space_group_IT_number 123
_space_group_name_Hall '-P 4 2'
_cell_length_a 4.687
_cell_length_b 4.687
_cell_length_c 5.114
_cell_angle_alpha 90.00
_cell_angle_beta 90.00
_cell_angle_gamma 90.00
loop_
_atom_site_label
_atom_site_type_symbol
_atom_site_fract_x
_atom_site_fract_y
_atom_site_fract_z
_atom_site_occupancy
Sb1 Sb 0.000 0.000 0.000 1
Ir1 Ir 0.000 0.500 0.500 1
W1 W 0.000 0.000 0.500 1
C1 C 0.500 0.500 0.000 1
```

***

[6]
An optimized crystal structure of CuSnTeI2, computed with PBEsol.

Results
Magnetization, μB/cell: 0.00
Uncorrected energy, eV per atom: -3.029

CIF file:
```
data_CuSnTeI2
_chemical_formula_sum 'Cu1 Sn1 Te1 I2'
_space_group_name_H-M_alt 'P 4/m m m'
_space_group_IT_number 123
_space_group_name_Hall '-P 4 2'
_cell_length_a 5.212
_cell_length_b 5.212
_cell_length_c 5.276
_cell_angle_alpha 90.00
_cell_angle_beta 90.00
_cell_angle_gamma 90.00
loop_
_atom_site_label
_atom_site_type_symbol
_atom_site_fract_x
_atom_site_fract_y
_atom_site_fract_z
_atom_site_occupancy
Cu1 Cu 0.000 0.000 0.000 1
Sn1 Sn 0.500 0.500 0.500 1
Te1 Te 0.000 0.000 0.500 1
I1 I 0.000 0.500 0.000 1
```

***

[7]
An optimized crystal structure of CaAlSe2, computed with PBEsol.

Results
Magnetization, μB/cell: 0.00
Uncorrected energy, eV per atom: -4.578

CIF file:
```
data_CaAlSe2
_chemical_formula_sum 'Ca3 Al3 Se6'
_space_group_name_H-M_alt 'R -3 m'
_space_group_IT_number 166
_space_group_name_Hall '-R 3 2"'
_cell_length_a 3.8777
_cell_length_b 3.8777
_cell_length_c 20.6048
_cell_angle_alpha 90.00
_cell_angle_beta 90.00
_cell_angle_gamma 120.00
loop_
_atom_site_label
_atom_site_type_symbol
_atom_site_fract_x
_atom_site_fract_y
_atom_site_fract_z
_atom_site_occupancy
Ca1 Ca 0.0000 0.0000 0.0000 1
Al1 Al 0.0000 0.0000 0.5000 1
Se1 Se 0.0000 0.0000 0.2416 1
```

***

[8]
An optimized crystal structure of CaLa2P, computed with PBEsol.

Results
Magnetization, μB/cell: 0.96
Energy of formation from the pure elements, eV per atom: -0.086
Uncorrected energy, eV per atom: -4.740

CIF file:
```
data_CaLa2P
_chemical_formula_sum 'Ca4 La8 P4'
_space_group_name_H-M_alt 'F -4 3 m'
_space_group_IT_number 216
_space_group_name_Hall 'F -4 2 3'
_cell_length_a 7.359
_cell_length_b 7.359
_cell_length_c 7.359
_cell_angle_alpha 90.00
_cell_angle_beta 90.00
_cell_angle_gamma 90.00
loop_
_atom_site_label
_atom_site_type_symbol
_atom_site_fract_x
_atom_site_fract_y
_atom_site_fract_z
_atom_site_occupancy
Ca1 Ca 0.000 0.000 0.000 1
La1 La 0.000 0.000 0.500 1
La2 La 0.250 0.250 0.750 1
P1 P 0.250 0.250 0.250 1
```

***

> Among the records above, which one has the highest uncorrected energy?

CuSnTeI2

***

> Among the records above, which one has the highest magnetization?

CaLa2P